## TlReOs2 (PBE)

Data for an optimized crystal structure of TlReOs2.

The structure in CIF format:
```
data_TlReOs2
_chemical_formula_sum 'Tl2 Re2 Os4'
_space_group_name_H-M_alt 'C m m m'
_space_group_IT_number 65
_space_group_name_Hall '-C 2 2'
_cell_length_a 2.8614
_cell_length_b 4.8670
_cell_length_c 9.8107
_cell_angle_alpha 90.00
_cell_angle_beta 90.00
_cell_angle_gamma 90.00
loop_
_atom_site_label
_atom_site_fract_x
_atom_site_fract_y
_atom_site_fract_z
_atom_site_occupancy
Tl1 0.0000 0.0000 0.0000 1
Re1 0.0000 0.0000 0.5000 1
Os1 0.0000 0.5000 0.2763 1
```

Properties
Relative energy among the computed polymorphs = 353 meV/atom
N(E_F) = 9.09 states/eV per cell
V = 17.1 A^3/atom
DFT formation energy = 0.89 eV per atom
Total DFT energy (no corrections) = -8.424 eV/atom